Record 1
The following is a GGA-PBEsol calculation of crystalline YScCo2 at its relaxed geometry, from Alexandria via LeMat-Bulk.

a b c (Å): 7.6026 7.6026 7.6026
angles (deg): 24.92 24.92 24.92
Positions (direct):
1 Y 0.0000 0.0000 0.0000
2 Sc 0.5000 0.5000 0.5000
3 Co 0.2460 0.2460 0.2460
4 Co 0.7540 0.7540 0.7540

D(E_F) = 1.120 states/eV/atom
Energy of formation = 0.8 eV/f.u.
Energy relative to the lowest polymorph listed for this composition = 419 meV per atom
Total magnetization = 0.9 μB/f.u.

Record 2
The following is a GGA-PBEsol calculation of crystalline YSc3Co at its relaxed geometry, from Alexandria via LeMat-Bulk.

a b c (Å): 4.8684 4.8684 4.8684
angles (deg): 90.00 90.00 90.00
Positions (direct):
1 Y 0.0000 0.0000 0.0000
2 Sc 0.0000 0.5000 0.5000
3 Sc 0.5000 0.0000 0.5000
4 Sc 0.5000 0.5000 0.0000
5 Co 0.5000 0.5000 0.5000

D(E_F) = 1.256 states/eV/atom
Energy of formation = -0.4 eV/f.u.
Energy relative to the lowest polymorph listed for this composition = 0 meV per atom
Total magnetization = 0.0 μB/f.u.

Record 3
The following is a GGA-PBEsol calculation of crystalline YScCo2 at its relaxed geometry, from Alexandria via LeMat-Bulk.

a b c (Å): 3.1763 3.1763 6.3794
angles (deg): 90.00 90.00 90.00
Positions (direct):
1 Y 0.0000 0.0000 0.0000
2 Sc 0.0000 0.0000 0.5000
3 Co 0.5000 0.5000 0.2710
4 Co 0.5000 0.5000 0.7290

D(E_F) = 0.530 states/eV/atom
Energy of formation = -0.8 eV/f.u.
Energy relative to the lowest polymorph listed for this composition = 0 meV per atom
Total magnetization = 0.3 μB/f.u.

Record 4
The following is a GGA-PBEsol calculation of crystalline YSc2Co at its relaxed geometry, from Alexandria via LeMat-Bulk.

a b c (Å): 5.8474 5.8474 5.8474
angles (deg): 147.21 129.74 61.32
Positions (direct):
1 Y 0.0000 0.0000 0.0000
2 Sc 0.3039 0.8039 0.5000
3 Sc 0.6961 0.1961 0.5000
4 Co 0.5000 0.5000 0.0000

D(E_F) = 1.148 states/eV/atom
Energy of formation = -0.5 eV/f.u.
Energy relative to the lowest polymorph listed for this composition = 0 meV per atom
Total magnetization = 0.0 μB/f.u.

Record 5
The following is a GGA-PBEsol calculation of crystalline YSc2Co at its relaxed geometry, from Alexandria via LeMat-Bulk.

a b c (Å): 3.1611 3.1611 8.2498
angles (deg): 90.00 90.00 90.00
Positions (direct):
1 Y 0.0000 0.0000 0.0000
2 Sc 0.5000 0.5000 0.3214
3 Sc 0.5000 0.5000 0.6786
4 Co 0.0000 0.0000 0.5000

D(E_F) = 1.192 states/eV/atom
Energy of formation = -0.5 eV/f.u.
Energy relative to the lowest polymorph listed for this composition = 6 meV per atom
Total magnetization = 0.3 μB/f.u.

Record 6
The following is a GGA-PBEsol calculation of crystalline Y2ScCo at its relaxed geometry, from Alexandria via LeMat-Bulk.

a b c (Å): 3.2577 3.2577 8.4786
angles (deg): 90.00 90.00 90.00
Positions (direct):
1 Y 0.0000 0.0000 0.0000
2 Y 0.5000 0.5000 0.3349
3 Sc 0.0000 0.0000 0.6396
4 Co 0.5000 0.5000 0.8007

D(E_F) = 1.217 states/eV/atom
Energy of formation = -0.3 eV/f.u.
Energy relative to the lowest polymorph listed for this composition = 24 meV per atom
Total magnetization = 0.4 μB/f.u.

Record 7
The following is a GGA-PBEsol calculation of crystalline YScCo2 at its relaxed geometry, from Alexandria via LeMat-Bulk.

a b c (Å): 4.4987 4.4987 4.4987
angles (deg): 60.00 60.00 60.00
Positions (direct):
1 Y 0.0000 0.0000 0.0000
2 Sc 0.5000 0.5000 0.5000
3 Co 0.2500 0.2500 0.2500
4 Co 0.7500 0.7500 0.7500

D(E_F) = 0.570 states/eV/atom
Energy of formation = -0.8 eV/f.u.
Energy relative to the lowest polymorph listed for this composition = 10 meV per atom
Total magnetization = 0.3 μB/f.u.

Record 8
The following is a GGA-PBEsol calculation of crystalline YScCo2 at its relaxed geometry, from Alexandria via LeMat-Bulk.

a b c (Å): 5.8758 5.8758 5.8758
angles (deg): 148.87 138.83 52.50
Positions (direct):
1 Y 0.0000 0.0000 0.0000
2 Sc 0.7200 0.2200 0.5000
3 Co 0.2667 0.7667 0.5000
4 Co 0.4230 0.4230 0.0000

D(E_F) = 0.913 states/eV/atom
Energy of formation = -0.2 eV/f.u.
Energy relative to the lowest polymorph listed for this composition = 162 meV per atom
Total magnetization = 1.1 μB/f.u.

Record 9
The following is a GGA-PBEsol calculation of crystalline YSc3Co at its relaxed geometry, from Alexandria via LeMat-Bulk.

a b c (Å): 4.9393 4.9393 4.9393
angles (deg): 90.00 90.00 90.00
Positions (direct):
1 Y 0.0000 0.0000 0.0000
2 Sc 0.0000 0.0000 0.5000
3 Sc 0.0000 0.5000 0.0000
4 Sc 0.5000 0.0000 0.0000
5 Co 0.5000 0.5000 0.5000

D(E_F) = 1.697 states/eV/atom
Energy of formation = 7.4 eV/f.u.
Energy relative to the lowest polymorph listed for this composition = 1564 meV per atom
Total magnetization = 1.2 μB/f.u.

Record 10
The following is a GGA-PBEsol calculation of crystalline YSc2Co at its relaxed geometry, from Alexandria via LeMat-Bulk.

a b c (Å): 10.1428 10.1428 10.1428
angles (deg): 17.83 17.83 17.83
Positions (direct):
1 Y 0.0000 0.0000 0.0000
2 Sc 0.4256 0.4256 0.4256
3 Sc 0.5744 0.5744 0.5744
4 Co 0.5000 0.5000 0.5000

D(E_F) = 1.028 states/eV/atom
Energy of formation = 1.8 eV/f.u.
Energy relative to the lowest polymorph listed for this composition = 585 meV per atom
Total magnetization = 0.6 μB/f.u.

Record 11
The following is a GGA-PBEsol calculation of crystalline Y2ScCo at its relaxed geometry, from Alexandria via LeMat-Bulk.

a b c (Å): 6.0078 6.0078 6.0078
angles (deg): 147.12 129.79 61.33
Positions (direct):
1 Y 0.0000 0.0000 0.0000
2 Y 0.6968 0.1968 0.5000
3 Sc 0.3103 0.8103 0.5000
4 Co 0.4902 0.4902 0.0000

D(E_F) = 1.110 states/eV/atom
Energy of formation = -0.4 eV/f.u.
Energy relative to the lowest polymorph listed for this composition = 0 meV per atom
Total magnetization = 0.0 μB/f.u.

Record 12
The following is a GGA-PBEsol calculation of crystalline Sc2ZnCo2 at its relaxed geometry, from Alexandria via LeMat-Bulk.

a b c (Å): 6.3859 6.3859 3.6859
angles (deg): 90.00 90.00 90.00
Positions (direct):
1 Sc 0.1771 0.3229 0.0000
2 Sc 0.3229 0.8229 0.0000
3 Sc 0.6771 0.1771 0.0000
4 Sc 0.8229 0.6771 0.0000
5 Zn 0.0000 0.0000 0.5000
6 Zn 0.5000 0.5000 0.5000
7 Co 0.1249 0.6249 0.5000
8 Co 0.3751 0.1249 0.5000
9 Co 0.6249 0.8751 0.5000
10 Co 0.8751 0.3751 0.5000

D(E_F) = 0.979 states/eV/atom
Energy of formation = -1.5 eV/f.u.
Total magnetization = 0.0 μB/f.u.

Record 13
The following is a GGA-PBEsol calculation of crystalline ScZn4Co at its relaxed geometry, from Alexandria via LeMat-Bulk.

a b c (Å): 4.8964 4.8964 4.8964
angles (deg): 60.00 60.00 60.00
Positions (direct):
1 Sc 0.0000 0.0000 0.0000
2 Zn 0.1274 0.6242 0.6242
3 Zn 0.6242 0.1274 0.6242
4 Zn 0.6242 0.6242 0.1274
5 Zn 0.6242 0.6242 0.6242
6 Co 0.2500 0.2500 0.2500

Energy of formation = -1.4 eV/f.u.
Total magnetization = 0.0 μB/f.u.

Record 14
The following is a GGA-PBEsol calculation of crystalline ZrScCo at its relaxed geometry, from Alexandria via LeMat-Bulk.

a b c (Å): 5.7799 5.7799 5.7799
angles (deg): 148.38 148.38 45.32
Positions (direct):
1 Zr 0.0000 0.0000 0.0000
2 Sc 0.7143 0.7143 0.0000
3 Co 0.3628 0.3628 0.0000

D(E_F) = 1.187 states/eV/atom
Energy of formation = -0.5 eV/f.u.
Total magnetization = 1.3 μB/f.u.

Record 15
The following is a GGA-PBEsol calculation of crystalline Zr2ScCo2 at its relaxed geometry, from Alexandria via LeMat-Bulk.

a b c (Å): 7.1021 7.1021 3.3107
angles (deg): 90.00 90.00 90.00
Positions (direct):
1 Zr 0.1642 0.3358 0.0000
2 Zr 0.3358 0.8358 0.0000
3 Zr 0.6642 0.1642 0.0000
4 Zr 0.8358 0.6642 0.0000
5 Sc 0.0000 0.0000 0.5000
6 Sc 0.5000 0.5000 0.5000
7 Co 0.1278 0.6278 0.5000
8 Co 0.3722 0.1278 0.5000
9 Co 0.6278 0.8722 0.5000
10 Co 0.8722 0.3722 0.5000

D(E_F) = 1.282 states/eV/atom
Energy of formation = -1.3 eV/f.u.
Total magnetization = 0.0 μB/f.u.